AgW2Br after structural relaxation. Source: the Alexandria database, functional GGA-PBE.

Output
SG	P4/mmm (123)
calculated volume	66.09	Å³/cell
energy above the most stable polymorph in this dataset	0.8272	eV/atom
raw formation energy	5.30	eV/f.u.
total magnetization	0.00	Bohr magnetons per cell

```
AgW2Br
1.0
3.091 0.000 0.000
0.000 3.091 0.000
0.000 0.000 6.917
Br Ag W
1 1 2
Cartesian
1.545 1.545 5.188
1.545 1.545 1.729
0.000 0.000 6.831
0.000 0.000 3.545
```